# 1
{"formula": "Nd5Si2Bi", "functional": "GGA-PBE", "state": "optimized geometry", "cell": [[7.9714, 0.0000, 0.0000], [0.0000, 7.9714, 0.0000], [-3.9857, -3.9857, 7.2739]], "species": ["Si", "Nd", "Si", "Si", "Nd", "Si", "Nd", "Bi", "Nd", "Nd", "Nd", "Nd", "Nd", "Bi", "Nd", "Nd"], "fractional_positions": [[0.8754, 0.6246, 0.0000], [0.8055, 0.9686, 0.2741], [0.1246, 0.3754, 0.0000], [0.3754, 0.8754, 0.0000], [0.4686, 0.3055, 0.2741], [0.6246, 0.1246, 0.0000], [0.0000, 0.0000, 0.0000], [0.7500, 0.7500, 0.5000], [0.1945, 0.0314, 0.7259], [0.3055, 0.8055, 0.2741], [0.6945, 0.1945, 0.7259], [0.9686, 0.4686, 0.2741], [0.0314, 0.5314, 0.7259], [0.2500, 0.2500, 0.5000], [0.5000, 0.5000, 0.0000], [0.5314, 0.6945, 0.7259]], "final_energy_ev_per_atom": -5.48, "density_g_cm3": 7.1, "formation_energy_uncorrected_mev_per_atom": -654}

# 2
{"formula": "MgAgHg", "functional": "GGA-PBE", "state": "optimized geometry", "cell": [[-1.5364, 3.5178, -2.6001], [-3.8891, -0.4754, -2.4788], [-3.8331, 2.2959, 1.2377]], "species": ["Ag", "Mg", "Hg"], "fractional_positions": [[0.2500, 0.2500, 0.2500], [0.5000, 0.5000, 0.5000], [0.0000, 0.0000, 0.0000]], "final_energy_ev_per_atom": -1.61, "polymorph_energy_ev_per_atom": 0.1442, "density_g_cm3": 7.8}

# 3
{"formula": "TlNiAg", "functional": "GGA-PBE", "state": "optimized geometry", "cell": [[4.5101, 0.0000, 0.0000], [-2.2551, 3.9059, 0.0000], [0.0000, 0.0000, 3.0724]], "species": ["Ag", "Tl", "Ni"], "fractional_positions": [[0.0000, 0.0000, 0.0098], [0.3333, 0.6667, 0.5727], [0.6667, 0.3333, 0.4176]], "final_energy_ev_per_atom": -3.34, "polymorph_energy_ev_per_atom": 0.0366, "density_g_cm3": 11.4}

# 4
{"formula": "NaMgCr2Br", "functional": "GGA-PBE", "state": "optimized geometry", "cell": [[5.0602, 0.0000, 0.0000], [0.0000, 5.6905, 0.0000], [0.0000, 0.0000, 5.0602]], "species": ["Br", "Mg", "Cr", "Na", "Cr"], "fractional_positions": [[0.0000, 0.0000, 0.0000], [0.0000, 0.5000, 0.0000], [0.0000, 0.0000, 0.5000], [0.5000, 0.5000, 0.5000], [0.5000, 0.0000, 0.0000]], "final_energy_ev_per_atom": -3.92, "density_g_cm3": 2.6, "formation_energy_uncorrected_mev_per_atom": 850}

# 5
{"formula": "ScTl3Ni", "functional": "GGA-PBE", "state": "optimized geometry", "cell": [[-4.0825, 1.0333, -3.6654], [-2.7459, -4.5220, 1.7836], [-2.6387, 3.1070, 3.8149]], "species": ["Sc", "Tl", "Tl", "Ni", "Tl"], "fractional_positions": [[0.0000, 0.0000, 0.0000], [0.0000, 0.5000, 0.0000], [0.5000, 0.0000, 0.0000], [0.5000, 0.5000, 0.5000], [0.0000, 0.0000, 0.5000]], "final_energy_ev_per_atom": -2.83, "polymorph_energy_ev_per_atom": 0.7622, "density_g_cm3": 6.8}

# 6
{"formula": "La5MgTl6", "functional": "GGA-PBE", "state": "optimized geometry", "cell": [[-5.3431, 1.1301, -0.7912], [-1.9232, -7.1319, 2.8012], [3.1552, 6.1820, 6.7660]], "species": ["Mg", "La", "La", "La", "Tl", "Tl", "La", "Tl", "Tl", "Tl", "La", "Tl"], "fractional_positions": [[0.0000, 0.0000, 0.0000], [0.6706, 0.6706, 0.3411], [0.3294, 0.3294, 0.6589], [0.0000, 0.5000, 0.0000], [0.8402, 0.5964, 0.6804], [0.1598, 0.9160, 0.3196], [0.3388, 0.8388, 0.6775], [0.5001, 0.7571, 0.0000], [0.4999, 0.2429, 0.0000], [0.1598, 0.4036, 0.3196], [0.6612, 0.1612, 0.3225], [0.8402, 0.0840, 0.6804]], "final_energy_ev_per_atom": -3.74, "density_g_cm3": 8.8}

# 7
{"formula": "CsK6Rb10", "functional": "GGA-PBE", "state": "optimized geometry", "cell": [[-8.9718, 3.3377, -0.7456], [-4.5999, -12.5302, -0.7417], [1.2339, 5.9743, 11.8954]], "species": ["Rb", "Rb", "K", "K", "Cs", "K", "K", "K", "Rb", "Rb", "Rb", "Rb", "Rb", "Rb", "K", "Rb", "Rb"], "fractional_positions": [[0.8389, 0.3050, 0.0000], [0.0000, 0.3333, 0.6667], [0.3388, 0.3562, 0.0000], [0.3388, 0.6438, 0.6438], [0.5000, 0.0000, 0.0000], [0.6612, 0.6438, 0.0000], [0.3388, 0.0000, 0.3562], [0.6612, 0.0000, 0.6438], [0.8389, 0.6950, 0.6950], [0.8389, 0.0000, 0.3050], [0.5000, 0.3333, 0.6667], [0.0000, 0.6667, 0.3333], [0.1611, 0.6950, 0.0000], [0.1611, 0.0000, 0.6950], [0.6612, 0.3562, 0.3562], [0.5000, 0.6667, 0.3333], [0.1611, 0.3050, 0.3050]], "final_energy_ev_per_atom": -0.99, "density_g_cm3": 1.4}

# 8
{"formula": "PmScMn", "functional": "GGA-PBE", "state": "optimized geometry", "cell": [[6.4376, 0.0000, 0.0000], [-3.2188, 6.1031, 0.0000], [0.0000, 0.0000, 7.3331]], "species": ["Pm", "Pm", "Pm", "Mn", "Mn", "Mn", "Sc", "Pm", "Mn", "Sc", "Sc", "Sc"], "fractional_positions": [[0.6937, 0.3875, 0.8937], [0.8063, 0.6125, 0.3937], [0.3063, 0.6125, 0.1063], [0.0922, 0.1844, 0.9547], [0.5922, 0.1844, 0.5453], [0.4078, 0.8156, 0.4547], [0.2929, 0.0858, 0.2500], [0.1937, 0.3875, 0.6063], [0.9078, 0.8156, 0.0453], [0.7071, 0.9142, 0.7500], [0.7929, 0.0858, 0.2500], [0.2071, 0.9142, 0.7500]], "final_energy_ev_per_atom": -6.60, "density_g_cm3": 5.6}

# 9
{"formula": "KPaIn2Te4", "functional": "GGA-PBE", "state": "optimized geometry", "cell": [[6.4692, -0.0322, 0.0000], [-0.0388, 6.4692, 0.0000], [-3.2152, -3.2185, 6.9233]], "species": ["Te", "Pa", "K", "In", "Te", "Te", "In", "Te"], "fractional_positions": [[0.7593, 0.7593, 0.5187], [0.7500, 0.2500, 0.5000], [0.5000, 0.5000, 0.0000], [0.0000, 0.0000, 0.0000], [0.9614, 0.4614, 0.9229], [0.5386, 0.0386, 0.0771], [0.2500, 0.7500, 0.5000], [0.2407, 0.2407, 0.4813]], "final_energy_ev_per_atom": -4.14, "density_g_cm3": 5.8, "formation_energy_uncorrected_mev_per_atom": -558}

# 10
{"formula": "Tm4GePbC", "functional": "GGA-PBE", "state": "optimized geometry", "cell": [[6.6227, 0.0000, 0.0000], [0.0000, 6.6257, 0.0000], [-3.3114, 0.0000, 7.7129]], "species": ["Ge", "C", "Tm", "Tm", "Pb", "Tm", "Tm", "Tm", "Tm", "C", "Pb", "Ge", "Tm", "Tm"], "fractional_positions": [[0.8857, 0.7500, 0.7714], [0.2477, 0.7500, 0.4953], [0.4068, 0.7500, 0.8136], [0.0000, 0.5000, 0.5000], [0.3943, 0.2500, 0.7886], [0.0000, 0.0000, 0.5000], [0.9159, 0.2500, 0.8317], [0.0841, 0.7500, 0.1683], [0.5932, 0.2500, 0.1864], [0.7523, 0.2500, 0.5047], [0.6057, 0.7500, 0.2114], [0.1143, 0.2500, 0.2286], [0.5000, 0.0000, 0.5000], [0.5000, 0.5000, 0.5000]], "final_energy_ev_per_atom": -5.66, "density_g_cm3": 9.5}

# 11
{"formula": "K2LiIn2", "functional": "GGA-PBE", "state": "optimized geometry", "cell": [[-2.6254, -4.6318, 5.5338], [7.2028, -1.3214, 2.3112], [-0.3505, 4.7436, 3.8042]], "species": ["Li", "K", "K", "In", "Li", "In", "In", "K", "K", "In"], "fractional_positions": [[0.5000, 0.5000, 0.0000], [0.1779, 0.6779, 0.5000], [0.6779, 0.8221, 0.5000], [0.3650, 0.8650, 0.0000], [0.0000, 0.0000, 0.0000], [0.1350, 0.3650, 0.0000], [0.6350, 0.1350, 0.0000], [0.8221, 0.3221, 0.5000], [0.3221, 0.1779, 0.5000], [0.8650, 0.6350, 0.0000]], "final_energy_ev_per_atom": -1.92, "density_g_cm3": 2.9}

# 12
{"formula": "Tb4SmDySe8", "functional": "GGA-PBE", "state": "optimized geometry", "cell": [[-5.7841, -1.6891, 5.9592], [-2.7296, -7.9438, 1.1250], [2.2124, -4.2957, 6.9558]], "species": ["Se", "Sm", "Tb", "Tb", "Dy", "Se", "Se", "Se", "Se", "Tb", "Se", "Se", "Se", "Tb"], "fractional_positions": [[0.7779, 0.2400, 0.7420], [0.3751, 0.3751, 0.8747], [0.9995, 0.5014, 0.4996], [0.6247, 0.6247, 0.1258], [0.9997, 0.9997, 0.0010], [0.2400, 0.2400, 0.7420], [0.2276, 0.7583, 0.2558], [0.7583, 0.2276, 0.2558], [0.2400, 0.7779, 0.7420], [0.5014, 0.9995, 0.4996], [0.7570, 0.7570, 0.7290], [0.7583, 0.7583, 0.2558], [0.2409, 0.2409, 0.2772], [0.9995, 0.9995, 0.4996]], "final_energy_ev_per_atom": -5.70, "density_g_cm3": 6.1, "formation_energy_uncorrected_mev_per_atom": -1722}